1.
Crystalline SiPtBr2 at its relaxed geometry. Source: Alexandria, functional GGA-PBE.

Cell: 6.836 6.836 6.836 Å, 90.00 90.00 90.00°
Element x y z (fractional)
Si  0.000  0.000  0.000
Si  0.000  0.500  0.500
Si  0.500  0.000  0.500
Si  0.500  0.500  0.000
Pt  0.250  0.250  0.750
Pt  0.250  0.750  0.250
Pt  0.750  0.250  0.250
Pt  0.750  0.750  0.750
Br  0.000  0.000  0.500
Br  0.000  0.500  0.000
Br  0.250  0.250  0.250
Br  0.250  0.750  0.750
Br  0.500  0.000  0.000
Br  0.500  0.500  0.500
Br  0.750  0.250  0.750
Br  0.750  0.750  0.250

Uncorrected formation energy   0.641 eV per atom
ρ   7.96 g/cm3
DOS at the Fermi energy   1.243 states/eV/cell
Energy above the lowest structure with this stoichiometry   1.019 eV per atom
VASP energy   -3.062 eV/atom


2.
Crystalline Si2PtBr at its relaxed geometry. Source: Alexandria, functional GGA-PBE.

Cell: 3.602 3.602 21.890 Å, 90.00 90.00 120.00°
Element x y z (fractional)
Si  0.000  0.000  0.000
Si  0.000  0.000  0.266
Si  0.333  0.667  0.667
Si  0.333  0.667  0.932
Si  0.667  0.333  0.333
Si  0.667  0.333  0.599
Pt  0.000  0.000  0.548
Pt  0.333  0.667  0.215
Pt  0.667  0.333  0.881
Br  0.000  0.000  0.749
Br  0.333  0.667  0.416
Br  0.667  0.333  0.082

Uncorrected formation energy   0.017 eV per atom
ρ   6.71 g/cm3
DOS at the Fermi energy   1.194 states/eV/cell
Energy above the lowest structure with this stoichiometry   0.409 eV per atom
VASP energy   -4.623 eV/atom